[1]
A geometry-optimized K2MgTc structure. Source: Alexandria via LeMat-Bulk, functional PBE.

**Uncorrected energy**: -2.75 eV per atom

a = 2.9266 Å, b = 4.4926 Å, c = 10.1732 Å
α = 90.00°, β = 96.85°, γ = 90.00°
Space group Pm (No. 6)
Inequivalent atoms, fractional coordinates:
K: 0.0000 0.0000 0.0000 (multiplicity 1)
K: 0.2727 0.5000 0.4104 (multiplicity 1)
Mg: 0.8710 0.0000 0.6702 (multiplicity 1)
Tc: 0.4027 0.5000 0.7474 (multiplicity 1)

=====

[2]
A geometry-optimized YPIr2 structure. Source: Alexandria via LeMat-Bulk, functional PBE.

**Uncorrected energy**: -7.73 eV per atom

a = 3.1703 Å, b = 3.1703 Å, c = 6.8450 Å
α = 90.00°, β = 90.00°, γ = 90.00°
Space group P4mm (No. 99)
Inequivalent atoms, fractional coordinates:
Y: 0.0000 0.0000 0.0000 (multiplicity 1)
P: 0.5000 0.5000 0.6759 (multiplicity 1)
Ir: 0.0000 0.0000 0.5395 (multiplicity 1)
Ir: 0.5000 0.5000 0.2690 (multiplicity 1)

=====

[3]
A geometry-optimized AgSn2S3 structure. Source: Alexandria via LeMat-Bulk, functional PBE.

**Formation energy (no corrections)**: -29.1 kJ/mol of atoms
**Relative energy among the computed polymorphs**: 0.0 meV per atom
**Uncorrected energy**: -4.18 eV per atom

a = 5.5509 Å, b = 11.9474 Å, c = 4.0063 Å
α = 90.00°, β = 90.00°, γ = 90.00°
Space group Imm2 (No. 44)
Inequivalent atoms, fractional coordinates:
Ag: 0.0000 0.0000 0.0000 (multiplicity 2)
Sn: 0.0000 0.3343 0.0008 (multiplicity 4)
S: 0.0000 0.1682 0.5016 (multiplicity 4)
S: 0.0000 0.5000 0.5016 (multiplicity 2)

=====

[4]
A geometry-optimized ScBi2Pb structure. Source: Alexandria via LeMat-Bulk, functional PBE.

**Uncorrected energy**: -4.43 eV per atom

a = 6.7871 Å, b = 6.7871 Å, c = 14.5723 Å
α = 90.00°, β = 90.00°, γ = 90.00°
Space group I-42d (No. 122)
Inequivalent atoms, fractional coordinates:
Sc: 0.0000 0.0000 0.0000 (multiplicity 4)
Bi: 0.2225 0.2500 0.1250 (multiplicity 8)
Pb: 0.0000 0.0000 0.5000 (multiplicity 4)

=====

[5]
A geometry-optimized Ce2SiPt structure. Source: Alexandria via LeMat-Bulk, functional PBE.

**Formation energy (no corrections)**: -67.9 kJ/mol of atoms
**Uncorrected energy**: -6.54 eV per atom

a = 4.4157 Å, b = 4.4157 Å, c = 4.2895 Å
α = 90.00°, β = 90.00°, γ = 90.00°
Space group P4/mmm (No. 123)
Inequivalent atoms, fractional coordinates:
Ce: 0.0000 0.5000 0.0000 (multiplicity 2)
Si: 0.0000 0.0000 0.5000 (multiplicity 1)
Pt: 0.5000 0.5000 0.5000 (multiplicity 1)

=====

[6]
A geometry-optimized MnCrTe2 structure. Source: Alexandria via LeMat-Bulk, functional PBE.

**Formation energy (no corrections)**: -2.0 kJ/mol of atoms
**Uncorrected energy**: -6.29 eV per atom

a = 4.0527 Å, b = 4.0527 Å, c = 5.7371 Å
α = 90.00°, β = 90.00°, γ = 90.00°
Space group P4/mmm (No. 123)
Inequivalent atoms, fractional coordinates:
Mn: 0.0000 0.0000 0.0000 (multiplicity 1)
Cr: 0.5000 0.5000 0.5000 (multiplicity 1)
Te: 0.0000 0.0000 0.5000 (multiplicity 1)
Te: 0.5000 0.5000 0.0000 (multiplicity 1)